# 1
First-principles (PBE) data for a geometry-optimized Tb2Sc structure, as listed in Alexandria.

Output
The value obtained for the calculated total energy is -0.37871 Ry per atom. The calculation puts the total magnetization at 0.00 Bohr magnetons per cell. As for the symmetry: I4/mmm, No. 139. For the density of states at the Fermi level, the calculation gives 4.6 states/eV/f.u. The distance to the lowest polymorph of the same formula is 0.00 eV/f.u. For the energy relative to the elements, the calculation gives 0.045 eV/atom.

Unit cell a=7.668 b=7.668 c=7.668 alpha=153.74 beta=153.74 gamma=37.47
Element x y z (fractional)
Tb: 0.162 0.162 0.000
Tb: 0.838 0.838 0.000
Sc: 0.500 0.500 0.000

# 2
First-principles (PBE) data for a geometry-optimized YbCoC2 structure, as listed in Alexandria.

Output
The value obtained for the calculated total energy is -0.51085 Ry per atom. The calculation puts the total magnetization at 0.36 Bohr magnetons per cell. As for the symmetry: Amm2, No. 38. For the density of states at the Fermi level, the calculation gives 11.7 states/eV/f.u. For the energy relative to the elements, the calculation gives -0.181 eV/atom.

Unit cell a=3.691 b=3.699 c=3.699 alpha=75.10 beta=90.00 gamma=90.00
Element x y z (fractional)
Yb: 0.000 0.000 0.000
Co: 0.500 0.617 0.617
C: 0.500 0.148 0.453
C: 0.500 0.453 0.148

# 3
First-principles (PBE) data for a geometry-optimized Tl2TcPb structure, as listed in Alexandria.

Output
The value obtained for the calculated total energy is -0.29040 Ry per atom. The calculation puts the total magnetization at 2.52 Bohr magnetons per cell. As for the symmetry: Cmmm, No. 65. For the density of states at the Fermi level, the calculation gives 2.5 states/eV/f.u. The distance to the lowest polymorph of the same formula is 1.26 eV/f.u. For the energy relative to the elements, the calculation gives 0.751 eV/atom.

Unit cell a=5.687 b=5.687 c=3.257 alpha=90.00 beta=90.00 gamma=110.40
Element x y z (fractional)
Tl: 0.000 0.500 0.000
Tl: 0.500 0.000 0.000
Tc: 0.000 0.000 0.500
Pb: 0.500 0.500 0.500

# 4
First-principles (PBE) data for a geometry-optimized La2Cd2In structure, as listed in Alexandria.

Output
The value obtained for the calculated total energy is -0.22339 Ry per atom. The calculation puts the total magnetization at 0.00 Bohr magnetons per cell. As for the symmetry: P4/mbm, No. 127. For the density of states at the Fermi level, the calculation gives 4.5 states/eV/f.u. The distance to the lowest polymorph of the same formula is 1.11 eV/f.u. For the energy relative to the elements, the calculation gives -0.155 eV/atom.

Unit cell a=9.269 b=9.269 c=3.652 alpha=90.00 beta=90.00 gamma=90.00
Element x y z (fractional)
La: 0.176 0.324 0.000
La: 0.324 0.824 0.000
La: 0.676 0.176 0.000
La: 0.824 0.676 0.000
Cd: 0.120 0.620 0.500
Cd: 0.380 0.120 0.500
Cd: 0.620 0.880 0.500
Cd: 0.880 0.380 0.500
In: 0.000 0.000 0.000
In: 0.500 0.500 0.000

Q: Which value of calculated total energy does entry 3 give?
A: -0.29040 Ry per atom